First-principles (PBE) data for crystalline La2Ga4NiSn2 at its relaxed geometry, as listed in the Alexandria database.

Cell lengths 6.571, 6.571, 9.219 Å; angles 90.00, 90.00, 90.00 degrees
Space group I4/mmm (No. 139)
Symmetry-distinct sites (fractional):
La (0.000, 0.500, 0.250) (multiplicity 4)
Ga (0.230, 0.230, 0.000) (multiplicity 8)
Ni (0.000, 0.000, 0.500) (multiplicity 2)
Sn (0.000, 0.000, 0.219) (multiplicity 4)

## Properties
Energy relative to the elements, eV/atom: -0.531
Mass density, Mg/m³: 7.116
Size of the total moment, μB per cell: 0.00
Calculated total energy, Ry/atom: -0.3310



First-principles (PBE) data for crystalline LaGa2NiSn at its relaxed geometry, as listed in the Alexandria database.

Cell lengths 4.697, 4.697, 5.021 Å; angles 90.00, 90.00, 90.00 degrees
Space group P4/mmm (No. 123)
Symmetry-distinct sites (fractional):
La (0.000, 0.000, 0.000) (multiplicity 1)
Ga (0.000, 0.500, 0.500) (multiplicity 2)
Ni (0.500, 0.500, 0.500) (multiplicity 1)
Sn (0.500, 0.500, 0.000) (multiplicity 1)

## Properties
Energy relative to the elements, eV/atom: -0.363
Mass density, Mg/m³: 6.832
Size of the total moment, μB per cell: 0.00
Calculated total energy, Ry/atom: -0.3320